11
Lattice="5.2988 0.0000 2.3283 -0.5894 5.2927 1.3414 0.2016 -0.5829 6.7349" Properties=species:S:1:pos:R:3 comment="SbCl2F8 (GGA-PBE, relaxed)" density_g_cm3=2.99 formation_energy_uncorrected_ev_per_atom=-1.460 pbc="T T T"
Cl 1.2063 2.2750 4.4484
Cl 3.7047 2.4348 5.9562
F 3.5531 0.3669 2.9859
F 4.4913 3.3857 4.1660
F 0.4196 1.3241 6.2386
F 3.1179 1.6935 7.2917
F 0.6963 0.3669 1.7306
F 4.2147 4.3429 8.6740
F 1.7931 3.0163 3.1129
F 1.3578 4.3429 7.4187
Sb 0.0000 0.0000 0.0000



5
Lattice="5.4177 0.0000 0.0000 0.0000 5.4177 0.0000 0.0000 0.0000 5.4177" Properties=species:S:1:pos:R:3 comment="TiInHg3 (GGA-PBE, relaxed)" density_g_cm3=7.98 polymorph_energy_mev_per_atom=0 e_form_mev_per_atom=441.0 pbc="T T T"
In 2.7088 2.7088 2.7088
Hg 0.0000 2.7088 0.0000
Hg 0.0000 0.0000 2.7088
Hg 2.7088 0.0000 0.0000
Ti 0.0000 0.0000 0.0000



4
Lattice="-5.5920 -3.8004 -0.1102 -1.9211 -3.2884 5.5876 1.2467 5.7640 -3.3087" Properties=species:S:1:pos:R:3 comment="Ca2ZrBr (GGA-PBE, relaxed)" density_g_cm3=3.54 formation_energy_uncorrected_ev_per_atom=-0.191 polymorph_energy_mev_per_atom=283 pbc="T T T"
Zr -3.4884 -3.2914 2.5432
Ca -3.9206 -0.6674 -0.4352
Ca -0.2776 -0.2619 0.2024
Br -2.3363 -0.6485 2.5969



12
Lattice="-0.9968 -2.3176 -5.8122 -3.7271 -1.7837 4.8035 -2.2156 6.0325 -0.8732" Properties=species:S:1:pos:R:3 comment="Li3HfSc2S6 (GGA-PBE, relaxed)" density_g_cm3=3.75 formation_energy_uncorrected_ev_per_atom=-1.684 pbc="T T T"
S -2.8480 3.5462 -0.9108
S -2.1533 0.5521 1.2860
S -4.7862 1.3791 -3.1679
S -4.0916 -1.6149 -0.9711
S -5.6851 1.5549 0.3272
S -1.2544 0.3764 -2.2091
Li -3.4698 0.9656 -0.9410
Li -4.3802 1.1436 2.5988
Li -2.5594 0.7876 -4.4807
Sc -2.8172 -1.9617 1.2655
Sc -1.9068 -2.1396 -2.2743
Hf 0.0000 0.0000 0.0000



Repeat the first record exactly.
11
Lattice="5.2988 0.0000 2.3283 -0.5894 5.2927 1.3414 0.2016 -0.5829 6.7349" Properties=species:S:1:pos:R:3 comment="SbCl2F8 (GGA-PBE, relaxed)" density_g_cm3=2.99 formation_energy_uncorrected_ev_per_atom=-1.460 pbc="T T T"
Cl 1.2063 2.2750 4.4484
Cl 3.7047 2.4348 5.9562
F 3.5531 0.3669 2.9859
F 4.4913 3.3857 4.1660
F 0.4196 1.3241 6.2386
F 3.1179 1.6935 7.2917
F 0.6963 0.3669 1.7306
F 4.2147 4.3429 8.6740
F 1.7931 3.0163 3.1129
F 1.3578 4.3429 7.4187
Sb 0.0000 0.0000 0.0000